[1]
First-principles (PBE) data for an optimized crystal structure of Er3ZnP2Rh9, as listed in Alexandria.

a b c (Å): 6.1588 6.1588 8.1282
angles (deg): 90.00 90.00 120.00
Fractional coordinates of all 15 atoms:
Er: 0.3333 0.6667 0.6535
Er: 0.0000 0.0000 0.0000
Er: 0.6667 0.3333 0.3465
Zn: 0.0000 0.0000 0.5000
P: 0.3333 0.6667 0.1646
P: 0.6667 0.3333 0.8354
Rh: 0.8376 0.1624 0.6959
Rh: 0.8376 0.6752 0.6959
Rh: 0.3248 0.1624 0.6959
Rh: 0.6752 0.8376 0.3041
Rh: 0.1624 0.3248 0.3041
Rh: 0.1624 0.8376 0.3041
Rh: 0.5000 0.0000 0.0000
Rh: 0.0000 0.5000 0.0000
Rh: 0.5000 0.5000 0.0000

Properties
Its energy of formation is -8.79 eV/f.u. Its symmetry is P-3m1 (164).

[2]
First-principles (PBE) data for an optimized crystal structure of ErZrP2Rh5, as listed in Alexandria.

a b c (Å): 4.0055 4.0055 10.4442
angles (deg): 90.00 90.00 90.00
Fractional coordinates of all 9 atoms:
Er: 0.0000 0.0000 0.5000
Zr: 0.0000 0.0000 0.0000
P: 0.5000 0.5000 0.2838
P: 0.5000 0.5000 0.7162
Rh: 0.0000 0.5000 0.1822
Rh: 0.5000 0.0000 0.1822
Rh: 0.0000 0.5000 0.8178
Rh: 0.5000 0.0000 0.8178
Rh: 0.5000 0.5000 0.5000

Properties
Its energy of formation is -6.69 eV/f.u. Its symmetry is P4/mmm (123).

[3]
First-principles (PBE) data for an optimized crystal structure of Er2P4Ru5, as listed in Alexandria.

a b c (Å): 5.5700 5.5526 7.2811
angles (deg): 78.94 67.51 59.90
Fractional coordinates of all 11 atoms:
Er: 0.8728 0.0000 0.2544
Er: 0.1272 0.0000 0.7456
P: 0.4753 0.3120 0.7374
P: 0.5247 0.6880 0.2626
P: 0.2127 0.3120 0.2626
P: 0.7873 0.6880 0.7374
Ru: 0.5000 0.0000 0.0000
Ru: 0.0000 0.5000 0.0000
Ru: 0.5000 0.5000 0.0000
Ru: 0.2500 0.5000 0.5000
Ru: 0.7500 0.5000 0.5000

Properties
Its energy of formation is -8.43 eV/f.u. Its symmetry is Fmmm (69).

[4]
First-principles (PBE) data for an optimized crystal structure of Er2PRu, as listed in Alexandria.

a b c (Å): 3.4946 3.4946 6.4134
angles (deg): 90.00 90.00 90.00
Fractional coordinates of all 4 atoms:
Ru: 0.5000 0.5000 0.0000
P: 0.5000 0.5000 0.5000
Er: 0.0000 0.0000 0.7454
Er: 0.0000 0.0000 0.2546

Properties
Its energy of formation is -3.09 eV/f.u. Its symmetry is P4/mmm (123).

[5]
First-principles (PBE) data for an optimized crystal structure of ErP2Ru2, as listed in Alexandria.

a b c (Å): 5.5462 5.5462 5.5462
angles (deg): 137.17 137.17 62.17
Fractional coordinates of all 5 atoms:
Er: 0.0000 0.0000 0.0000
P: 0.6240 0.6240 0.0000
P: 0.3760 0.3760 0.0000
Ru: 0.2500 0.7500 0.5000
Ru: 0.7500 0.2500 0.5000

Properties
Its energy of formation is -5.15 eV/f.u. Its symmetry is I4/mmm (139).

[6]
First-principles (PBE) data for an optimized crystal structure of ErP3Ru5, as listed in Alexandria.

a b c (Å): 3.8562 6.3823 11.9817
angles (deg): 90.00 90.00 107.58
Fractional coordinates of all 18 atoms:
Er: 0.8343 0.6686 0.7500
Er: 0.1657 0.3314 0.2500
P: 0.3869 0.7738 0.9522
P: 0.8679 0.7359 0.2500
P: 0.3869 0.7738 0.5478
P: 0.6131 0.2262 0.4522
P: 0.1321 0.2641 0.7500
P: 0.6131 0.2262 0.0478
Ru: 0.7934 0.5869 0.4242
Ru: 0.2066 0.4131 0.9242
Ru: 0.0000 0.0000 0.5000
Ru: 0.0000 0.0000 0.0000
Ru: 0.4442 0.8883 0.1477
Ru: 0.5558 0.1117 0.8523
Ru: 0.5558 0.1117 0.6477
Ru: 0.7934 0.5869 0.0758
Ru: 0.2066 0.4131 0.5758
Ru: 0.4442 0.8883 0.3523

Properties
Its energy of formation is -4.83 eV/f.u. Its symmetry is Cmcm (63).

[7]
First-principles (PBE) data for an optimized crystal structure of ErP2Ru3, as listed in Alexandria.

a b c (Å): 3.9098 8.0547 9.5529
angles (deg): 107.71 90.00 104.05
Fractional coordinates of all 18 atoms:
Er: 0.1584 0.3168 0.6964
Er: 0.8416 0.6832 0.3036
Er: 0.0000 0.0000 0.0000
P: 0.1967 0.3933 0.1333
P: 0.8033 0.6067 0.8667
P: 0.4603 0.9206 0.2194
P: 0.5397 0.0794 0.7806
P: 0.3607 0.7214 0.5492
P: 0.6393 0.2786 0.4508
Ru: 0.0390 0.0780 0.3275
Ru: 0.9610 0.9220 0.6725
Ru: 0.2174 0.4349 0.3914
Ru: 0.7826 0.5651 0.6086
Ru: 0.6223 0.2445 0.1998
Ru: 0.3777 0.7555 0.8002
Ru: 0.5000 0.0000 0.5000
Ru: 0.3197 0.6395 0.0386
Ru: 0.6803 0.3605 0.9614

Properties
Its energy of formation is -4.76 eV/f.u. Its symmetry is C2/m (12).

[8]
First-principles (PBE) data for an optimized crystal structure of ErP4Ru4, as listed in Alexandria.

a b c (Å): 5.9845 5.9845 7.6133
angles (deg): 90.00 90.00 90.00
Fractional coordinates of all 18 atoms:
Er: 0.0000 0.0000 0.0000
Er: 0.5000 0.5000 0.5000
P: 0.5000 0.7848 0.8148
P: 0.5000 0.2152 0.8148
P: 0.7848 0.5000 0.1852
P: 0.2152 0.5000 0.1852
P: 0.2848 0.0000 0.3148
P: 0.7152 0.0000 0.3148
P: 0.0000 0.2848 0.6852
P: 0.0000 0.7152 0.6852
Ru: 0.2276 0.5000 0.8798
Ru: 0.7724 0.5000 0.8798
Ru: 0.5000 0.7724 0.1202
Ru: 0.5000 0.2276 0.1202
Ru: 0.0000 0.7276 0.3798
Ru: 0.0000 0.2724 0.3798
Ru: 0.2724 0.0000 0.6202
Ru: 0.7276 0.0000 0.6202

Properties
Its energy of formation is -5.45 eV/f.u. Its symmetry is P4_2/nmc (137).

[9]
First-principles (PBE) data for an optimized crystal structure of ErP12Ru4, as listed in Alexandria.

a b c (Å): 6.9912 6.9912 6.9912
angles (deg): 109.47 109.47 109.47
Fractional coordinates of all 17 atoms:
Er: 0.0000 0.0000 0.0000
P: 0.8574 0.3567 0.2142
P: 0.3567 0.4993 0.1426
P: 0.7858 0.1426 0.6433
P: 0.3567 0.2142 0.8574
P: 0.2142 0.8574 0.3567
P: 0.6433 0.5007 0.8574
P: 0.4993 0.1426 0.3567
P: 0.5007 0.8574 0.6433
P: 0.6433 0.7858 0.1426
P: 0.8574 0.6433 0.5007
P: 0.1426 0.3567 0.4993
P: 0.1426 0.6433 0.7858
Ru: 0.0000 0.5000 0.0000
Ru: 0.5000 0.0000 0.0000
Ru: 0.5000 0.5000 0.5000
Ru: 0.0000 0.0000 0.5000

Properties
Its energy of formation is -10.60 eV/f.u. Its symmetry is Im-3 (204).

[10]
First-principles (PBE) data for an optimized crystal structure of ErP4Ru6, as listed in Alexandria.

a b c (Å): 3.7287 6.9406 6.9406
angles (deg): 120.00 90.00 90.00
Fractional coordinates of all 11 atoms:
Er: 0.0000 0.0000 0.0000
P: 0.5000 0.8108 0.6215
P: 0.5000 0.3785 0.1892
P: 0.5000 0.8108 0.1892
P: 0.0000 0.3333 0.6667
Ru: 0.0000 0.5350 0.0700
Ru: 0.5000 0.6031 0.8016
Ru: 0.0000 0.5350 0.4650
Ru: 0.0000 0.9300 0.4650
Ru: 0.5000 0.1984 0.8016
Ru: 0.5000 0.1984 0.3969

Properties
Its energy of formation is -8.31 eV/f.u. Its symmetry is P-6m2 (187).

[11]
First-principles (PBE) data for an optimized crystal structure of Er4P2S, as listed in Alexandria.

a b c (Å): 3.8697 6.6757 7.5549
angles (deg): 116.35 104.84 90.00
Fractional coordinates of all 7 atoms:
Er: 0.1267 0.7977 0.2534
Er: 0.8733 0.2023 0.7466
Er: 0.3709 0.7101 0.7417
Er: 0.6291 0.2899 0.2583
P: 0.2571 0.2549 0.5141
P: 0.7429 0.7451 0.4859
S: 0.0000 0.0000 0.0000

Properties
The calculation puts the uncorrected formation energy at -1403 meV/atom. Its symmetry is C2/m (12).

[12]
First-principles (PBE) data for an optimized crystal structure of Er3PS6, as listed in Alexandria.

a b c (Å): 6.9549 8.2923 8.2923
angles (deg): 102.12 90.00 90.00
Fractional coordinates of all 20 atoms:
Er: 0.4717 0.9150 0.7111
Er: 0.9717 0.7111 0.9150
Er: 0.4064 0.3992 0.6008
Er: 0.9064 0.6008 0.3992
Er: 0.9717 0.0850 0.2889
Er: 0.4717 0.2889 0.0850
P: 0.0598 0.1842 0.8158
P: 0.5598 0.8158 0.1842
S: 0.1881 0.6860 0.6408
S: 0.6881 0.6408 0.6860
S: 0.1919 0.4207 0.9017
S: 0.6919 0.9017 0.4207
S: 0.2068 0.0321 0.9679
S: 0.6090 0.2198 0.7802
S: 0.1090 0.7802 0.2198
S: 0.7068 0.9679 0.0321
S: 0.1919 0.0983 0.5793
S: 0.6919 0.5793 0.0983
S: 0.1881 0.3592 0.3140
S: 0.6881 0.3140 0.3592

Properties
The calculation puts the uncorrected formation energy at -1520 meV/atom. Its symmetry is Cmc2_1 (36).